The following is a PBE calculation of a geometry-optimized Hf2MgBe structure, from the Open Quantum Materials Database.

Properties
final energy	-5.76	eV per atom
size of the total moment	1.49	μB per formula unit

Unit cell a=6.7308 b=6.7308 c=6.7308 alpha=90.00 beta=90.00 gamma=90.00
With the nearest neighbours (Å) after each atom.
Space group F-43m (No. 216)
Inequivalent atoms, fractional coordinates:
Hf 0.0000 0.0000 0.0000 [4 per cell]  4 Hf 2.91, 4 Mg 2.91
Hf 0.2500 0.2500 0.2500 [4 per cell]  4 Be 2.91, 4 Hf 2.91
Mg 0.2500 0.2500 0.7500 [4 per cell]  4 Hf 2.91, 4 Be 2.91
Be 0.0000 0.0000 0.5000 [4 per cell]  4 Hf 2.91, 4 Mg 2.91